# Nd8Ge3Te4Au, optimized geometry, DFT GGA-PBE
# spin magnetization: 0.00 μB/f.u.
# formation energy from raw total energies: -1.171 eV per atom
data_Nd8Ge3Te4Au
_chemical_formula_sum 'Nd24 Ge9 Te12 Au3'
_cell_length_a 8.7775
_cell_length_b 8.7775
_cell_length_c 21.9612
_cell_angle_alpha 90.00
_cell_angle_beta 90.00
_cell_angle_gamma 120.00
_space_group_name_H-M_alt 'R -3 m'
_space_group_IT_number 166
_space_group_name_Hall '-R 3 2"'
loop_
_atom_site_label
_atom_site_fract_x
_atom_site_fract_y
_atom_site_fract_z
Nd1 0.0000 0.0000 0.2415
Nd2 0.0088 0.5044 0.7569
Ge1 0.0000 0.5000 0.5000
Te1 0.0000 0.0000 0.0000
Te2 0.0000 0.5000 0.0000
Au1 0.0000 0.0000 0.5000

=====

# NdGeTe3Au, optimized geometry, DFT GGA-PBE
# spin magnetization: 0.00 μB/f.u.
# formation energy from raw total energies: -0.618 eV per atom
data_NdGeTe3Au
_chemical_formula_sum 'Nd2 Ge2 Te6 Au2'
_cell_length_a 8.550
_cell_length_b 4.250
_cell_length_c 9.807
_cell_angle_alpha 90.00
_cell_angle_beta 99.35
_cell_angle_gamma 90.00
_space_group_name_H-M_alt 'P 1 21/m 1'
_space_group_IT_number 11
_space_group_name_Hall '-P 2yb'
loop_
_atom_site_label
_atom_site_fract_x
_atom_site_fract_y
_atom_site_fract_z
Nd1 0.171 0.250 0.264
Ge1 0.342 0.750 0.855
Te1 0.097 0.250 0.870
Te2 0.278 0.750 0.514
Te3 0.406 0.750 0.148
Au1 0.081 0.250 0.583

=====

# NdTmGeAu, optimized geometry, DFT GGA-PBE
# spin magnetization: 0.54 μB/f.u.
# energy of formation from the pure elements: -276 kJ/mol of formula units
data_NdTmGeAu
_chemical_formula_sum 'Nd4 Tm4 Ge4 Au4'
_cell_length_a 7.264
_cell_length_b 7.264
_cell_length_c 7.264
_cell_angle_alpha 90.00
_cell_angle_beta 90.00
_cell_angle_gamma 90.00
_space_group_name_H-M_alt 'F -4 3 m'
_space_group_IT_number 216
_space_group_name_Hall 'F -4 2 3'
loop_
_atom_site_label
_atom_site_fract_x
_atom_site_fract_y
_atom_site_fract_z
Nd1 0.000 0.000 0.000
Tm1 0.000 0.000 0.500
Ge1 0.250 0.250 0.750
Au1 0.250 0.250 0.250

=====

# NdZnGeAu, optimized geometry, DFT GGA-PBE
# spin magnetization: 0.00 μB/f.u.
# energy of formation from the pure elements: -167 kJ/mol of formula units
data_NdZnGeAu
_chemical_formula_sum 'Nd4 Zn4 Ge4 Au4'
_cell_length_a 6.983
_cell_length_b 6.983
_cell_length_c 6.983
_cell_angle_alpha 90.00
_cell_angle_beta 90.00
_cell_angle_gamma 90.00
_space_group_name_H-M_alt 'F -4 3 m'
_space_group_IT_number 216
_space_group_name_Hall 'F -4 2 3'
loop_
_atom_site_label
_atom_site_fract_x
_atom_site_fract_y
_atom_site_fract_z
Nd1 0.000 0.000 0.000
Zn1 0.000 0.000 0.500
Ge1 0.250 0.250 0.750
Au1 0.250 0.250 0.250

=====

> What is the spin magnetization in the fourth record?

0.00 μB/f.u.